1.
VASP calculation (GGA-PBE) on a geometry-optimized Ti3P3Pd structure.

Structure (POSCAR):
```
Ti3P3Pd
1.0
10.823 0.000 0.000
0.000 3.538 0.000
0.000 0.000 11.174
Ti P Pd
12 12 4
Direct
0.054 0.250 0.125
0.168 0.750 0.500
0.219 0.750 0.784
0.281 0.250 0.284
0.332 0.250 0.000
0.446 0.750 0.625
0.554 0.250 0.375
0.668 0.750 0.000
0.719 0.750 0.716
0.781 0.250 0.216
0.832 0.250 0.500
0.946 0.750 0.875
0.078 0.250 0.361
0.115 0.250 0.908
0.223 0.750 0.128
0.277 0.250 0.628
0.385 0.750 0.408
0.422 0.750 0.861
0.578 0.250 0.139
0.615 0.250 0.592
0.723 0.750 0.372
0.777 0.250 0.872
0.885 0.750 0.092
0.922 0.750 0.639
0.057 0.250 0.676
0.443 0.750 0.176
0.557 0.250 0.824
0.943 0.750 0.324
```

**Mass density**: 5324 kg/m³
**M_tot**: 0.00 μB/f.u.
**Energy of formation from the pure elements**: -0.99 eV per atom

---

2.
VASP calculation (GGA-PBE) on a geometry-optimized TiPPd structure.

Structure (POSCAR):
```
TiPPd
1.0
0.000 2.898 2.898
2.898 0.000 2.898
2.898 2.898 0.000
Ti P Pd
1 1 1
Direct
0.000 0.000 0.000
0.250 0.250 0.250
0.500 0.500 0.500
```

**Mass density**: 6323 kg/m³
**M_tot**: 1.03 μB/f.u.
**Energy of formation from the pure elements**: -0.74 eV per atom

---

One value per record, in order, for DFT total energy: -208.21, -20.70 eV/cell.